# BeFeHg2 PBE-GGA relaxed
data_BeFeHg2
_cell_length_a 3.032
_cell_length_b 3.032
_cell_length_c 6.955
_cell_angle_alpha 90.00
_cell_angle_beta 90.00
_cell_angle_gamma 90.00
_space_group_name_H-M_alt 'P 4/m m m'
_space_group_IT_number 123
_space_group_name_Hall '-P 4 2'
loop_
_atom_site_label
_atom_site_type_symbol
_atom_site_fract_x
_atom_site_fract_y
_atom_site_fract_z
Be1 Be 0.000 0.000 0.000
Fe1 Fe 0.000 0.000 0.500
Hg1 Hg 0.500 0.500 0.232
# - total moment (μB/atom) = 0.684
# - ΔH_f (0 K) (eV per formula unit) = 2.02
# - V (Å³ per cell) = 63.92
# - density (g/cm³) = 12.11